No. 1
Density functional theory data (PBE) for a geometry-optimized LiPa3P4N12 structure.

abc: 10.8935 10.8935 8.8795
angles: 90.00 90.00 120.00
Space group R32 (No. 155, hexagonal axes)
Unique sites:
Li 0.0000 0.0000 0.0000 [3 per cell]
Pa 0.0000 0.5432 0.0000 [9 per cell]
P 0.0000 0.0000 0.5000 [3 per cell]
P 0.0000 0.4539 0.5000 [9 per cell]
N 0.0000 0.6006 0.5000 [9 per cell]
N 0.0000 0.8553 0.5000 [9 per cell]
N 0.0211 0.2105 0.1941 [18 per cell]

Raw total energy, eV for the cell shown: -500.50
Density of states at the Fermi level, states/eV/cell: 0.0
E_form (uncorrected), eV/atom: -0.74

***

No. 2
Density functional theory data (PBE) for a geometry-optimized Tb3CuAu2 structure.

abc: 5.0581 5.0581 12.4640
angles: 90.00 90.00 120.00
Space group P-3m1 (No. 164)
Unique sites:
Tb 0.0000 0.0000 0.2465 [2 per cell]
Tb 0.3333 0.6667 0.4145 [2 per cell]
Tb 0.3333 0.6667 0.9183 [2 per cell]
Cu 0.3333 0.6667 0.1678 [2 per cell]
Au 0.0000 0.0000 0.0000 [1 per cell]
Au 0.0000 0.0000 0.5000 [1 per cell]
Au 0.3333 0.6667 0.6745 [2 per cell]

E_form, eV per atom: -0.64
Raw total energy, eV for the cell shown: -56.82
Density of states at the Fermi level, states/eV/cell: 5.8

***

no.,mass density (g cm⁻³)
1,5.4
2,11.2